# GdHoCoGe | Alexandria via LeMat-Bulk | PBE | optimized geometry
data_GdHoCoGe
_symmetry_space_group_name_H-M 'F -4 3 m'
_symmetry_Int_Tables_number 216
_symmetry_space_group_name_Hall 'F -4 2 3'
_cell_length_a 6.959
_cell_length_b 6.959
_cell_length_c 6.959
_cell_angle_alpha 90.00
_cell_angle_beta 90.00
_cell_angle_gamma 90.00
loop_
_atom_site_label
_atom_site_type_symbol
_atom_site_fract_x
_atom_site_fract_y
_atom_site_fract_z
Gd1 Gd 0.000 0.000 0.000
Ho1 Ho 0.000 0.000 0.500
Co1 Co 0.250 0.250 0.250
Ge1 Ge 0.250 0.250 0.750
# Calculated total energy: -7.98 eV per atom

***

# LiGdCoGe | Alexandria via LeMat-Bulk | PBE | optimized geometry
data_LiGdCoGe
_symmetry_space_group_name_H-M 'F -4 3 m'
_symmetry_Int_Tables_number 216
_symmetry_space_group_name_Hall 'F -4 2 3'
_cell_length_a 6.337
_cell_length_b 6.337
_cell_length_c 6.337
_cell_angle_alpha 90.00
_cell_angle_beta 90.00
_cell_angle_gamma 90.00
loop_
_atom_site_label
_atom_site_type_symbol
_atom_site_fract_x
_atom_site_fract_y
_atom_site_fract_z
Li1 Li 0.000 0.000 0.000
Gd1 Gd 0.250 0.250 0.250
Co1 Co 0.000 0.000 0.500
Ge1 Ge 0.250 0.250 0.750
# Calculated total energy: -7.28 eV per atom

***

The evaluated E_form for the records listed, in turn: -1.54; -1.39 eV per formula unit.